Record 1
AcHoErTl | PBE | optimized geometry

The structure in POSCAR format:
```
AcHoErTl
1.0
0.000 3.963 3.963
3.963 0.000 3.963
3.963 3.963 0.000
Ac Ho Er Tl
1 1 1 1
Cartesian
0.000 0.000 0.000
5.945 5.945 5.945
1.982 1.982 1.982
3.963 3.963 3.963
```

DFT formation energy: 0.076 eV per atom
Space-group type: F-43m (216)



Record 2
AcHoErTm | PBE | optimized geometry

The structure in POSCAR format:
```
AcHoErTm
1.0
0.000 4.087 4.087
4.087 0.000 4.087
4.087 4.087 0.000
Ac Ho Er Tm
1 1 1 1
Cartesian
0.000 0.000 0.000
4.087 4.087 4.087
6.130 6.130 6.130
2.043 2.043 2.043
```

DFT formation energy: 0.125 eV per atom
Space-group type: F-43m (216)



How do the records compare in spin magnetization? In the order shown, they have 1.267 0.000 μB/cell.
How do the records compare in raw total energy? In the order shown, they have -15.3 -17.2 eV/cell.